Y2Pu2Ir3 | PBE | optimized geometry

a = 4.7451 Å, b = 4.7451 Å, c = 24.4614 Å
α = 90.00°, β = 90.00°, γ = 120.00°
Last column: nearest neighbours and their distance in Å.
Space group R-3m (No. 166, hexagonal axes)
Asymmetric unit:
Y 0.0000 0.0000 0.1265  5 Ir 2.94-3.10
Pu 0.0000 0.0000 0.3766  7 Ir 2.91-3.10
Ir 0.0000 0.0000 0.0000  6 Pu 2.94, 2 Y 3.10
Ir 0.0000 0.0000 0.2500  4 Pu 2.91-3.10, 4 Y 2.94-3.02

E_form: -0.567 eV per atom
Theoretical density: 13.0 Mg/m³
Calculated volume: 22.714 Å³ per atom
ΔE to the lowest computed polymorph: 53 meV/atom
VASP energy: -10.306 eV per atom

=====

Be2CdBr | PBE | optimized geometry

a = 3.1489 Å, b = 6.0330 Å, c = 7.8910 Å
α = 90.00°, β = 90.00°, γ = 90.00°
Last column: nearest neighbours and their distance in Å.
Space group Immm (No. 71)
Asymmetric unit:
Be 0.0000 0.0000 0.2402  2 Br 2.46, 2 Cd 2.59
Cd 0.0000 0.5000 0.0000  4 Be 2.59
Br 0.0000 0.5000 0.5000  4 Be 2.46

ΔE_f (raw): 669 meV per atom
Theoretical density: 4.7 Mg/m³
Calculated volume: 18.738 Å³ per atom
ΔE to the lowest computed polymorph: 378 meV/atom
VASP energy: -1.841 eV per atom

=====

CaPmSmDy | PBE | optimized geometry

a = 8.2233 Å, b = 8.2233 Å, c = 8.2233 Å
α = 90.00°, β = 90.00°, γ = 90.00°
Last column: nearest neighbours and their distance in Å.
Space group F-43m (No. 216)
Asymmetric unit:
Ca 0.0000 0.0000 0.0000  4 Pm 3.56, 4 Sm 3.56
Pm 0.2500 0.2500 0.2500  4 Dy 3.56, 4 Ca 3.56
Sm 0.2500 0.2500 0.7500  4 Ca 3.56, 4 Dy 3.56
Dy 0.0000 0.0000 0.5000  4 Sm 3.56, 4 Pm 3.56

E_form: 0.135 eV per atom
Theoretical density: 5.9 Mg/m³
Calculated volume: 34.755 Å³ per atom
VASP energy: -3.883 eV per atom

=====

Tb2Al12Pt7 | PBE | optimized geometry

a = 9.9556 Å, b = 9.9556 Å, c = 4.1636 Å
α = 90.00°, β = 90.00°, γ = 120.00°
Last column: nearest neighbours and their distance in Å.
Space group P-6 (No. 174)
Asymmetric unit:
Tb 0.0000 0.0000 0.0000  6 Pt 3.14, 12 Al 3.23-3.42
Tb 0.3333 0.6667 0.5000  9 Al 3.23-3.50, 6 Pt 3.36
Al 0.0247 0.2841 0.5000  4 Pt 2.50-2.66
Al 0.1384 0.7509 0.0000  4 Pt 2.53-2.60, 1 Al 2.76
Al 0.3744 0.1949 0.0000  4 Pt 2.52-2.57, 3 Al 2.76-2.81
Al 0.5352 0.4160 0.5000  5 Pt 2.55-2.79, 1 Al 2.80
Pt 0.0362 0.4556 0.0000  7 Al 2.53-2.66
Pt 0.2434 0.2285 0.5000  7 Al 2.50-2.60
Pt 0.6667 0.3333 0.0000  9 Al 2.52-2.79

E_form: -1.003 eV per atom
Theoretical density: 9.3 Mg/m³
Calculated volume: 17.018 Å³ per atom
VASP energy: -5.596 eV per atom

=====

Hf2ScNbH | PBE | optimized geometry

a = 4.4854 Å, b = 4.4854 Å, c = 4.3176 Å
α = 90.00°, β = 90.00°, γ = 90.00°
Last column: nearest neighbours and their distance in Å.
Space group P4/mmm (No. 123)
Asymmetric unit:
Hf 0.0000 0.5000 0.0000  2 H 2.24
Sc 0.0000 0.0000 0.5000  2 H 2.16
Nb 0.5000 0.5000 0.5000  8 Hf 3.11, 4 Sc 3.17
H 0.0000 0.0000 0.0000  2 Sc 2.16, 4 Hf 2.24

Theoretical density: 9.5 Mg/m³
Calculated volume: 17.373 Å³ per atom
VASP energy: -7.951 eV per atom

=====

Cu5Pb3Se12 | PBE | optimized geometry

a = 15.7576 Å, b = 15.7576 Å, c = 15.7576 Å
α = 90.00°, β = 90.00°, γ = 90.00°
Last column: nearest neighbours and their distance in Å.
Space group Ia-3d (No. 230)
Asymmetric unit:
Cu 0.0000 0.0000 0.0000  6 Se 2.50
Cu 0.0000 0.2500 0.3750  4 Se 2.35
Pb 0.0000 0.2500 0.1250  8 Se 3.04-3.19
Se 0.0300 0.0512 0.6471  2 Cu 2.35-2.50

ΔE_f (raw): -4 meV per atom
Theoretical density: 6.4 Mg/m³
Calculated volume: 24.454 Å³ per atom
VASP energy: -3.675 eV per atom

=====

LaSb2SeI | PBE | optimized geometry

a = 5.4020 Å, b = 5.4020 Å, c = 5.7341 Å
α = 90.00°, β = 90.00°, γ = 90.00°
Last column: nearest neighbours and their distance in Å.
Space group P4/mmm (No. 123)
Asymmetric unit:
La 0.0000 0.0000 0.0000  4 I 3.82, 8 Sb 3.94
Sb 0.0000 0.5000 0.5000  2 Se 2.70
Se 0.5000 0.5000 0.5000  4 Sb 2.70, 2 I 2.87
I 0.5000 0.5000 0.0000  2 Se 2.87

ΔE_f (raw): -97 meV per atom
Theoretical density: 5.8 Mg/m³
Calculated volume: 33.466 Å³ per atom
ΔE to the lowest computed polymorph: 0 meV/atom
VASP energy: -3.738 eV per atom

=====

GdCdPt | PBE | optimized geometry

a = 3.7155 Å, b = 3.7155 Å, c = 9.5660 Å
α = 90.00°, β = 90.00°, γ = 90.00°
Last column: nearest neighbours and their distance in Å.
Space group I4mm (No. 107)
Asymmetric unit:
Gd 0.0000 0.0000 0.0000  4 Pt 2.97, 5 Cd 2.98-3.19
Cd 0.0000 0.0000 0.6887  5 Gd 2.98-3.19, 5 Pt 3.07-3.20
Pt 0.0000 0.0000 0.3542  4 Gd 2.97, 5 Cd 3.07-3.20

E_form: -0.715 eV per atom
Theoretical density: 11.7 Mg/m³
Calculated volume: 22.010 Å³ per atom
VASP energy: -7.727 eV per atom

=====

CdAgW2 | PBE | optimized geometry

a = 2.8377 Å, b = 2.8377 Å, c = 30.0152 Å
α = 90.00°, β = 90.00°, γ = 120.00°
Last column: nearest neighbours and their distance in Å.
Space group R3m (No. 160, hexagonal axes)
Asymmetric unit:
Cd 0.0000 0.0000 0.0000  6 Cd 2.84, 3 Ag 3.02, 3 W 3.07
Ag 0.0000 0.0000 0.7513  6 Ag 2.84, 3 W 2.97, 3 Cd 3.02
W 0.0000 0.0000 0.2468  9 W 2.84-2.90, 3 Cd 3.07
W 0.0000 0.0000 0.5003  9 W 2.84-2.90, 3 Ag 2.97

E_form: 0.435 eV per atom
Theoretical density: 14.0 Mg/m³
Calculated volume: 17.443 Å³ per atom
VASP energy: -6.984 eV per atom

=====

TcSbI2N | PBE | optimized geometry

a = 5.6624 Å, b = 5.6624 Å, c = 3.7723 Å
α = 90.00°, β = 90.00°, γ = 90.00°
Last column: nearest neighbours and their distance in Å.
Space group P4/mmm (No. 123)
Asymmetric unit:
Tc 0.0000 0.0000 0.0000  2 N 1.89
Sb 0.5000 0.5000 0.5000  8 I 3.40, 2 Sb 3.77
I 0.0000 0.5000 0.0000  2 Tc 2.83
N 0.0000 0.0000 0.5000  2 Tc 1.89

ΔE_f (raw): 480 meV per atom
Theoretical density: 6.7 Mg/m³
Calculated volume: 24.190 Å³ per atom
ΔE to the lowest computed polymorph: 0 meV/atom
VASP energy: -4.702 eV per atom

=====

ErCd6Hg2 | PBE | optimized geometry

a = 15.3789 Å, b = 8.7831 Å, c = 3.2233 Å
α = 90.00°, β = 102.06°, γ = 90.00°
Last column: nearest neighbours and their distance in Å.
Space group C2/m (No. 12)
Asymmetric unit:
Er 0.0000 0.0000 0.0000  2 Er 3.22, 12 Cd 3.29-3.41
Cd 0.0000 0.3267 0.5000  5 Cd 2.95-3.22, 4 Hg 3.15-3.18, 2 Er 3.29
Cd 0.1735 0.1695 0.6709  6 Cd 2.95-3.22, 1 Hg 3.04
Hg 0.1500 0.5000 0.1400  10 Cd 3.04-3.35, 2 Hg 3.22

E_form: -0.083 eV per atom
Theoretical density: 9.7 Mg/m³
Calculated volume: 23.655 Å³ per atom
ΔE to the lowest computed polymorph: 29 meV/atom
VASP energy: -1.267 eV per atom

=====

Th2MnAl | PBE | optimized geometry

a = 4.7316 Å, b = 4.7316 Å, c = 4.3255 Å
α = 90.00°, β = 90.00°, γ = 90.00°
Last column: nearest neighbours and their distance in Å.
Space group P4/mmm (No. 123)
Asymmetric unit:
Th 0.0000 0.5000 0.0000  4 Al 3.21, 4 Mn 3.21, 4 Th 3.35
Mn 0.0000 0.0000 0.5000  8 Th 3.21, 4 Al 3.35
Al 0.5000 0.5000 0.5000  8 Th 3.21, 4 Mn 3.35

E_form: 0.021 eV per atom
Theoretical density: 9.4 Mg/m³
Calculated volume: 24.210 Å³ per atom
ΔE to the lowest computed polymorph: 0 meV/atom
VASP energy: -6.917 eV per atom